No. 1
MgSi3Ir3 after structural relaxation, computed with GGA-PBE.

Its formation energy without anion corrections is -128 meV/atom.

Cell: 6.554 6.554 6.554 Å, 90.00 90.00 90.00°
Fractional positions:
Si1 0.000 0.250 0.500
Si2 0.000 0.750 0.500
Si3 0.500 0.000 0.750
Si4 0.750 0.500 0.000
Si5 0.500 0.000 0.250
Si6 0.250 0.500 0.000
Ir1 0.250 0.000 0.500
Ir2 0.000 0.500 0.250
Ir3 0.500 0.750 0.000
Ir4 0.750 0.000 0.500
Ir5 0.000 0.500 0.750
Ir6 0.500 0.250 0.000
Mg1 0.500 0.500 0.500
Mg2 0.000 0.000 0.000

No. 2
Ca2Cd3AgAu12 after structural relaxation, computed with GGA-PBE.

For the formation energy, the calculation gives -51 meV/atom.

Cell: 7.999 7.999 7.999 Å, 70.53 70.53 70.53°
Fractional positions:
Ca1 0.605 0.605 0.605
Ca2 0.395 0.395 0.395
Cd1 0.500 0.000 0.000
Cd2 0.000 0.500 0.000
Cd3 0.000 0.000 0.500
Ag1 0.000 0.000 0.000
Au1 0.391 0.391 0.960
Au2 0.839 0.839 0.352
Au3 0.352 0.839 0.839
Au4 0.960 0.391 0.391
Au5 0.839 0.352 0.839
Au6 0.391 0.960 0.391
Au7 0.609 0.609 0.040
Au8 0.161 0.161 0.648
Au9 0.648 0.161 0.161
Au10 0.040 0.609 0.609
Au11 0.161 0.648 0.161
Au12 0.609 0.040 0.609

No. 3
SmYZnRh after structural relaxation, computed with GGA-PBE.

For the formation energy, the calculation gives -559 meV/atom. The distance to the lowest polymorph of the same formula is 11 meV/atom.

Cell: 4.999 4.999 4.999 Å, 60.00 60.00 60.00°
Fractional positions:
Y1 0.750 0.750 0.750
Zn1 0.000 0.000 0.000
Rh1 0.500 0.500 0.500
Sm1 0.250 0.250 0.250

No. 4
ErThCu after structural relaxation, computed with GGA-PBE.

For the formation energy, the calculation gives 59 meV/atom. The distance to the lowest polymorph of the same formula is 131 meV/atom.

Cell: 3.666 3.666 7.183 Å, 75.22 75.22 60.00°
Fractional positions:
Th1 0.341 0.341 0.978
Er1 0.536 0.536 0.393
Cu1 0.109 0.109 0.673

No. 5
Ga2Fe2Co4C after structural relaxation, computed with GGA-PBE.

For the formation energy, the calculation gives -117 meV/atom.

Cell: 5.146 5.146 5.146 Å, 93.29 118.12 118.12°
Site moments in Bohr magnetons follow the coordinates.
Fractional positions:
Ga1 0.500 0.750 0.250  -0.08
Ga2 0.500 0.250 0.750  -0.08
Fe1 0.000 0.728 0.728  2.12
Fe2 0.000 0.272 0.272  2.12
Co1 0.000 0.748 0.252  0.66
Co2 0.496 0.748 0.748  0.66
Co3 0.000 0.252 0.748  0.66
Co4 0.504 0.252 0.252  0.66
C1 0.000 0.000 0.000  -0.10

No. 6
YMo2Os after structural relaxation, computed with GGA-PBE.

For the formation energy, the calculation gives 222 meV/atom. The distance to the lowest polymorph of the same formula is 40 meV/atom.

Cell: 5.525 5.525 4.655 Å, 65.14 65.14 33.78°
Fractional positions:
Mo1 0.014 0.014 0.986
Mo2 0.486 0.486 0.514
Os1 0.750 0.750 0.750
Y1 0.250 0.250 0.250

No. 7
SrSe2BrO after structural relaxation, computed with GGA-PBE.

Its formation energy without anion corrections is 271 meV/atom. The distance to the lowest polymorph of the same formula is 1021 meV/atom.

Cell: 6.195 6.195 5.926 Å, 90.00 90.00 90.00°
Site moments in Bohr magnetons follow the coordinates.
Fractional positions:
O1 0.500 0.500 0.500  1.46
Sr1 0.000 0.000 0.000  -0.01
Se1 0.000 0.500 0.000  0.86
Se2 0.500 0.000 0.000  0.86
Br1 0.000 0.000 0.500  0.13

No. 8
SrZnNi2 after structural relaxation, computed with GGA-PBE.

For the formation energy, the calculation gives -139 meV/atom.

Cell: 4.062 7.021 10.938 Å, 90.00 90.00 90.00°
Fractional positions:
Sr1 0.750 0.722 0.305
Sr2 0.750 0.222 0.195
Sr3 0.250 0.278 0.695
Sr4 0.250 0.778 0.805
Zn1 0.250 0.068 0.432
Zn2 0.750 0.932 0.568
Zn3 0.250 0.568 0.068
Zn4 0.750 0.432 0.932
Ni1 0.750 0.754 0.030
Ni2 0.250 0.246 0.970
Ni3 0.750 0.254 0.470
Ni4 0.250 0.746 0.530
Ni5 0.750 0.068 0.948
Ni6 0.250 0.432 0.448
Ni7 0.750 0.568 0.552
Ni8 0.250 0.932 0.052

No. 9
SbRu4Se after structural relaxation, computed with GGA-PBE.

Its formation energy without anion corrections is 740 meV/atom.

Cell: 5.237 5.237 5.237 Å, 60.00 60.00 60.00°
Site moments in Bohr magnetons follow the coordinates.
Fractional positions:
Sb1 0.750 0.750 0.750  0.00
Ru1 0.876 0.375 0.375  0.46
Ru2 0.375 0.375 0.876  0.46
Ru3 0.375 0.876 0.375  0.46
Ru4 0.375 0.375 0.375  0.46
Se1 0.000 0.000 0.000  0.02

No. 10
Nd3SmBi2 after structural relaxation, computed with GGA-PBE.

For the formation energy, the calculation gives -655 meV/atom. The distance to the lowest polymorph of the same formula is 0 meV/atom.

Cell: 4.661 4.661 9.003 Å, 90.00 90.00 90.00°
Fractional positions:
Nd1 0.500 0.000 0.353
Nd2 0.000 0.500 0.647
Nd3 0.000 0.000 0.000
Sm1 0.500 0.500 0.000
Bi1 0.500 0.000 0.720
Bi2 0.000 0.500 0.280

No. 11
K6Rb10Au after structural relaxation, computed with GGA-PBE.

For the formation energy, the calculation gives -8 meV/atom.

Cell: 8.849 13.234 13.234 Å, 120.00 90.00 90.00°
Fractional positions:
K1 0.757 0.408 0.408
K2 0.757 0.000 0.592
K3 0.757 0.592 0.000
K4 0.243 0.592 0.592
K5 0.243 0.000 0.408
K6 0.243 0.408 0.000
Rb1 0.733 0.780 0.780
Rb2 0.733 0.000 0.220
Rb3 0.733 0.220 0.000
Rb4 0.267 0.220 0.220
Rb5 0.267 0.000 0.780
Rb6 0.267 0.780 0.000
Rb7 0.500 0.333 0.667
Rb8 0.500 0.667 0.333
Rb9 0.000 0.667 0.333
Rb10 0.000 0.333 0.667
Au1 0.500 0.000 0.000

No. 12
Li2Ga4Ag5 after structural relaxation, computed with GGA-PBE.

For the formation energy, the calculation gives -124 meV/atom. The distance to the lowest polymorph of the same formula is 0 meV/atom.

Cell: 2.945 6.675 11.333 Å, 121.39 97.46 90.00°
Fractional positions:
Li1 0.585 0.482 0.170
Li2 0.415 0.518 0.830
Ga1 0.726 0.630 0.452
Ga2 0.043 0.739 0.086
Ga3 0.274 0.370 0.548
Ga4 0.957 0.261 0.914
Ag1 0.181 0.883 0.361
Ag2 0.819 0.117 0.639
Ag3 0.134 0.226 0.268
Ag4 0.500 0.000 0.000
Ag5 0.866 0.774 0.732

No. 13
Ce2YSc12 after structural relaxation, computed with GGA-PBE.

For the formation energy, the calculation gives 765 meV/atom.

Cell: 7.408 7.408 16.314 Å, 90.00 90.00 90.00°
Site moments in Bohr magnetons follow the coordinates.
Fractional positions:
Ce1 0.500 0.000 0.249  0.81
Ce2 0.000 0.500 0.249  0.81
Ce3 0.000 0.500 0.751  0.81
Ce4 0.500 0.000 0.751  0.81
Y1 0.500 0.000 0.000  -0.16
Y2 0.000 0.500 0.000  -0.16
Sc1 0.500 0.500 0.830  0.03
Sc2 0.000 0.000 0.830  0.03
Sc3 0.750 0.750 0.900  -0.04
Sc4 0.250 0.750 0.900  -0.04
Sc5 0.000 0.000 0.335  -0.04
Sc6 0.250 0.750 0.100  -0.04
Sc7 0.750 0.250 0.597  -0.07
Sc8 0.500 0.500 0.335  -0.04
Sc9 0.250 0.250 0.900  -0.04
Sc10 0.750 0.750 0.100  -0.04
Sc11 0.250 0.250 0.597  -0.07
Sc12 0.750 0.250 0.403  -0.07
Sc13 0.000 0.000 0.665  -0.04
Sc14 0.250 0.250 0.403  -0.07
Sc15 0.250 0.250 0.100  -0.04
Sc16 0.750 0.750 0.403  -0.07
Sc17 0.750 0.750 0.597  -0.07
Sc18 0.000 0.000 0.170  0.03
Sc19 0.250 0.750 0.597  -0.07
Sc20 0.500 0.500 0.665  -0.04
Sc21 0.750 0.250 0.900  -0.04
Sc22 0.500 0.500 0.170  0.03
Sc23 0.250 0.750 0.403  -0.07
Sc24 0.750 0.250 0.100  -0.04

No. 14
NaPrYTl after structural relaxation, computed with GGA-PBE.

For the formation energy, the calculation gives -97 meV/atom.

Cell: 5.510 5.510 5.510 Å, 60.00 60.00 60.00°
Fractional positions:
Pr1 0.250 0.250 0.250
Y1 0.750 0.750 0.750
Tl1 0.500 0.500 0.500
Na1 0.000 0.000 0.000

No. 15
NaTb2Ir after structural relaxation, computed with GGA-PBE.

For the formation energy, the calculation gives -320 meV/atom. The distance to the lowest polymorph of the same formula is 50 meV/atom.

Cell: 4.051 4.051 10.639 Å, 79.03 79.03 60.00°
Fractional positions:
Na1 0.000 0.000 0.000
Ir1 0.500 0.500 0.500
Tb1 0.120 0.120 0.639
Tb2 0.880 0.880 0.361

No. 16
TaMn2Pb after structural relaxation, computed with GGA-PBE.

For the formation energy, the calculation gives 381 meV/atom.

Cell: 3.258 3.258 6.570 Å, 90.00 90.00 90.00°
Site moments in Bohr magnetons follow the coordinates.
Fractional positions:
Mn1 0.000 0.000 0.001  1.91
Mn2 0.500 0.500 0.207  3.27
Pb1 0.000 0.000 0.483  -0.01
Ta1 0.500 0.500 0.809  -0.30

No. 17
LaDyTl2 after structural relaxation, computed with GGA-PBE.

For the formation energy, the calculation gives -379 meV/atom.

Cell: 5.506 5.506 5.506 Å, 60.00 60.00 60.00°
Fractional positions:
Tl1 0.000 0.000 0.000
Tl2 0.500 0.500 0.500
La1 0.750 0.750 0.750
Dy1 0.250 0.250 0.250

No. 18
Cs2LiHg4 after structural relaxation, computed with GGA-PBE.

For the formation energy, the calculation gives -205 meV/atom.

Cell: 5.533 5.533 10.107 Å, 74.12 74.12 90.00°
Fractional positions:
Cs1 0.644 0.644 0.712
Cs2 0.356 0.356 0.288
Hg1 0.855 0.855 0.289
Hg2 0.145 0.145 0.711
Hg3 0.000 0.500 0.000
Hg4 0.500 0.000 0.000
Li1 0.000 0.000 0.000

No. 19
Li2Cd6Hg3 after structural relaxation, computed with GGA-PBE.

For the formation energy, the calculation gives -84 meV/atom.

Cell: 7.114 6.056 12.962 Å, 54.77 62.34 107.62°
Fractional positions:
Li1 0.487 0.434 0.128
Li2 0.513 0.566 0.872
Cd1 0.228 0.804 0.776
Cd2 0.525 0.094 0.849
Cd3 0.772 0.196 0.224
Cd4 0.475 0.906 0.151
Cd5 0.786 0.979 0.491
Cd6 0.214 0.021 0.509
Hg1 0.000 0.000 0.000
Hg2 0.911 0.726 0.341
Hg3 0.089 0.274 0.659

No. 20
CrTcHg2 after structural relaxation, computed with GGA-PBE.

For the formation energy, the calculation gives 634 meV/atom. The distance to the lowest polymorph of the same formula is 306 meV/atom.

Cell: 4.050 3.071 6.562 Å, 62.24 90.00 90.00°
Site moments in Bohr magnetons follow the coordinates.
Fractional positions:
Cr1 0.500 0.750 0.750  3.47
Hg1 0.000 0.000 0.000  -0.01
Hg2 0.000 0.500 0.500  -0.01
Tc1 0.500 0.250 0.250  -1.53

| no. | energy (eV/atom) |
| --- | --- |
| 1 | -6.4774 |
| 2 | -2.7690 |
| 3 | -5.5108 |
| 4 | -5.3004 |
| 5 | -6.8533 |
| 6 | -9.6170 |
| 7 | -2.7858 |
| 8 | -3.7681 |
| 9 | -6.7122 |
| 10 | -5.1187 |
| 11 | -1.1578 |
| 12 | -2.8686 |
| 13 | -5.5225 |
| 14 | -3.8294 |
| 15 | -5.1803 |
| 16 | -8.0940 |
| 17 | -3.9448 |
| 18 | -0.8950 |
| 19 | -1.0137 |
| 20 | -4.5145 |